(1)
## Li5GaAg2Au2 (PBE-GGA)

Data for an optimized crystal structure of Li5GaAg2Au2.

Values from the calculation:
E_tot: -0.2006 Ry per atom
E_form: -23.5 kJ/mol of atoms
Total magnetic moment: 0.0 Bohr magnetons per cell
DOS(E_F): 0.2766 states/eV per atom
Space-group type: P4/mbm

Cell lengths 9.5312, 9.5312, 3.8291 Å; angles 90.00, 90.00, 90.00 degrees
Closest atoms and distances in Å follow each position.
Atoms (fractional coordinates):
Li 0.0000 0.5000 0.0000  4 Au 2.58
Li 0.0955 0.1854 0.0000  2 Au 2.63, 2 Ga 2.76, 2 Li 2.81
Li 0.1854 0.9045 0.0000  2 Au 2.63, 2 Ga 2.76, 2 Li 2.81
Li 0.3146 0.4045 0.0000  2 Au 2.63, 2 Ga 2.76, 2 Li 2.81
Li 0.4045 0.6854 0.0000  2 Au 2.63, 2 Ga 2.76, 2 Li 2.81
Li 0.5000 0.0000 0.0000  4 Au 2.58
Li 0.5955 0.3146 0.0000  2 Au 2.63, 2 Ga 2.76, 2 Li 2.81
Li 0.6854 0.5955 0.0000  2 Au 2.63, 2 Ga 2.76, 2 Li 2.81
Li 0.8146 0.0955 0.0000  2 Au 2.63, 2 Ga 2.76, 2 Li 2.81
Li 0.9045 0.8146 0.0000  2 Au 2.63, 2 Ga 2.76, 2 Li 2.81
Ga 0.0000 0.0000 0.5000  8 Li 2.76
Ga 0.5000 0.5000 0.5000  8 Li 2.76
Ag 0.1671 0.6671 0.5000  3 Au 2.76-2.84, 6 Li 2.96-2.97
Ag 0.3329 0.1671 0.5000  3 Au 2.76-2.84, 6 Li 2.96-2.97
Ag 0.6671 0.8329 0.5000  3 Au 2.76-2.84, 6 Li 2.96-2.97
Ag 0.8329 0.3329 0.5000  3 Au 2.76-2.84, 6 Li 2.96-2.97
Au 0.1279 0.3721 0.5000  6 Li 2.58-2.63, 3 Ag 2.76-2.84
Au 0.3721 0.8721 0.5000  6 Li 2.58-2.63, 3 Ag 2.76-2.84
Au 0.6279 0.1279 0.5000  6 Li 2.58-2.63, 3 Ag 2.76-2.84
Au 0.8721 0.6279 0.5000  6 Li 2.58-2.63, 3 Ag 2.76-2.84

=====

(2)
## LiGaAgAu (PBE-GGA)

Data for an optimized crystal structure of LiGaAgAu.

Values from the calculation:
E_tot: -0.2282 Ry per atom
E_form: -32.6 kJ/mol of atoms
Total magnetic moment: 0.0 Bohr magnetons per cell
DOS(E_F): 0.4832 states/eV per atom
Space-group type: F-43m

Cell lengths 4.4982, 4.4982, 4.4982 Å; angles 60.00, 60.00, 60.00 degrees
Closest atoms and distances in Å follow each position.
Atoms (fractional coordinates):
Li 0.0000 0.0000 0.0000  4 Ag 2.75, 4 Au 2.75
Ga 0.5000 0.5000 0.5000  4 Ag 2.75, 4 Au 2.75
Ag 0.7500 0.7500 0.7500  4 Ga 2.75, 4 Li 2.75
Au 0.2500 0.2500 0.2500  4 Ga 2.75, 4 Li 2.75

=====

(3)
## LiGaAgAu2 (PBE-GGA)

Data for an optimized crystal structure of LiGaAgAu2.

Values from the calculation:
E_tot: -0.2329 Ry per atom
E_form: -28.8 kJ/mol of atoms
Total magnetic moment: 0.0 Bohr magnetons per cell
DOS(E_F): 0.2329 states/eV per atom
Space-group type: P2_1/m

Cell lengths 6.3893, 4.1139, 6.4277 Å; angles 90.00, 90.24, 90.00 degrees
Closest atoms and distances in Å follow each position.
Atoms (fractional coordinates):
Li 0.2291 0.2500 0.2478  6 Au 2.78-3.06, 3 Ag 2.81-2.86, 3 Ga 2.97-3.00
Li 0.7709 0.7500 0.7522  6 Au 2.78-3.06, 3 Ag 2.81-2.86, 3 Ga 2.97-3.00
Ga 0.4474 0.2500 0.8355  6 Au 2.68-2.92, 1 Ag 2.75, 3 Li 2.97-3.00
Ga 0.5526 0.7500 0.1645  6 Au 2.68-2.92, 1 Ag 2.75, 3 Li 2.97-3.00
Ag 0.0551 0.2500 0.6575  1 Ga 2.75, 3 Li 2.81-2.86, 6 Au 2.83-2.95, 2 Ag 2.97
Ag 0.9449 0.7500 0.3425  1 Ga 2.75, 3 Li 2.81-2.86, 6 Au 2.83-2.95, 2 Ag 2.97
Au 0.1828 0.7500 0.9614  3 Ga 2.69-2.78, 3 Li 2.78-2.95, 3 Ag 2.89-2.95, 1 Au 2.98
Au 0.3483 0.7500 0.5279  3 Ga 2.68-2.92, 3 Ag 2.83-2.91, 2 Li 2.84, 3 Au 2.85-2.98
Au 0.6517 0.2500 0.4721  3 Ga 2.68-2.92, 3 Ag 2.83-2.91, 2 Li 2.84, 3 Au 2.85-2.98
Au 0.8172 0.2500 0.0386  3 Ga 2.69-2.78, 3 Li 2.78-2.95, 3 Ag 2.89-2.95, 1 Au 2.98

=====

(4)
## MnGa2AgAu (PBE-GGA)

Data for an optimized crystal structure of MnGa2AgAu.

Values from the calculation:
E_tot: -0.2600 Ry per atom
E_form: 70.7 kJ/mol of atoms
Total magnetic moment: 4.7 Bohr magnetons per cell
DOS(E_F): 0.6103 states/eV per atom
Space-group type: P4/mmm

Cell lengths 5.0198, 5.0198, 5.4298 Å; angles 90.00, 90.00, 90.00 degrees
Closest atoms and distances in Å follow each position.
Atoms (fractional coordinates):
Mn 0.0000 0.0000 0.0000  4 Au 3.55, 8 Ga 3.70
Ga 0.0000 0.5000 0.5000  2 Ag 2.51
Ga 0.5000 0.0000 0.5000  2 Ag 2.51
Ag 0.5000 0.5000 0.5000  4 Ga 2.51, 2 Au 2.71
Au 0.5000 0.5000 0.0000  2 Ag 2.71

=====

(5)
## NaGa2AgAu5 (PBE-GGA)

Data for an optimized crystal structure of NaGa2AgAu5.

Values from the calculation:
E_tot: -0.2235 Ry per atom
E_form: -8.1 kJ/mol of atoms
Total magnetic moment: 0.0 Bohr magnetons per cell
DOS(E_F): 0.2517 states/eV per atom
Space-group type: P4/mmm

Cell lengths 4.6642, 4.6642, 8.1522 Å; angles 90.00, 90.00, 90.00 degrees
Closest atoms and distances in Å follow each position.
Atoms (fractional coordinates):
Na 0.0000 0.0000 0.0000  12 Au 2.98-3.30
Ga 0.5000 0.5000 0.3525  1 Ga 2.41, 4 Au 2.54
Ga 0.5000 0.5000 0.6475  1 Ga 2.41, 4 Au 2.54
Ag 0.0000 0.0000 0.5000  8 Au 3.22, 8 Ga 3.51
Au 0.0000 0.5000 0.2278  2 Ga 2.54
Au 0.0000 0.5000 0.7722  2 Ga 2.54
Au 0.5000 0.0000 0.2278  2 Ga 2.54
Au 0.5000 0.0000 0.7722  2 Ga 2.54
Au 0.5000 0.5000 0.0000  2 Ga 2.87, 8 Au 2.98

=====

(6)
## NaGa2AgAu2 (PBE-GGA)

Data for an optimized crystal structure of NaGa2AgAu2.

Values from the calculation:
E_tot: -0.2233 Ry per atom
E_form: -23.4 kJ/mol of atoms
Total magnetic moment: 0.0 Bohr magnetons per cell
DOS(E_F): 0.1326 states/eV per atom
Space-group type: P-3m1

Cell lengths 4.6251, 4.6251, 6.0352 Å; angles 90.00, 90.00, 120.00 degrees
Closest atoms and distances in Å follow each position.
Atoms (fractional coordinates):
Na 0.0000 0.0000 0.0000  2 Ag 3.02, 6 Ga 3.11, 6 Au 3.12
Ga 0.3333 0.6667 0.7347  4 Au 2.67-2.83
Ga 0.6667 0.3333 0.2653  4 Au 2.67-2.83
Ag 0.0000 0.0000 0.5000  2 Na 3.02, 6 Au 3.02, 6 Ga 3.02
Au 0.3333 0.6667 0.2662  4 Ga 2.67-2.83
Au 0.6667 0.3333 0.7338  4 Ga 2.67-2.83

=====

(7)
## Na2Ga4AgAu3 (PBE-GGA)

Data for an optimized crystal structure of Na2Ga4AgAu3.

Values from the calculation:
E_tot: -0.2201 Ry per atom
E_form: -24.3 kJ/mol of atoms
Total magnetic moment: 0.0 Bohr magnetons per cell
DOS(E_F): 0.5010 states/eV per atom
Space-group type: P-4m2

Cell lengths 4.4595, 4.4595, 10.7350 Å; angles 90.00, 90.00, 90.00 degrees
Closest atoms and distances in Å follow each position.
Atoms (fractional coordinates):
Na 0.0000 0.5000 0.2457  8 Ga 3.38-3.52, 6 Au 3.41-3.45, 2 Ag 3.45
Na 0.5000 0.0000 0.7543  8 Ga 3.38-3.52, 6 Au 3.41-3.45, 2 Ag 3.45
Ga 0.0000 0.0000 0.5000  4 Au 2.65
Ga 0.0000 0.5000 0.8689  3 Au 2.52-2.64, 2 Ag 2.64
Ga 0.5000 0.0000 0.1311  3 Au 2.52-2.64, 2 Ag 2.64
Ga 0.5000 0.5000 0.5000  4 Au 2.65
Ag 0.5000 0.5000 0.0000  4 Ga 2.64
Au 0.0000 0.0000 0.0000  4 Ga 2.64
Au 0.0000 0.5000 0.6337  5 Ga 2.52-2.65
Au 0.5000 0.0000 0.3663  5 Ga 2.52-2.65

=====

(8)
## Nd2Ga3AgAu4 (PBE-GGA)

Data for an optimized crystal structure of Nd2Ga3AgAu4.

Values from the calculation:
E_tot: -0.2955 Ry per atom
E_form: -54.3 kJ/mol of atoms
Total magnetic moment: 0.0 Bohr magnetons per cell
DOS(E_F): 0.3890 states/eV per atom
Space-group type: P-4m2

Cell lengths 4.3306, 4.3306, 11.3461 Å; angles 90.00, 90.00, 90.00 degrees
Closest atoms and distances in Å follow each position.
Atoms (fractional coordinates):
Nd 0.0000 0.5000 0.2404  8 Au 3.30-3.48, 6 Ga 3.31-3.66, 2 Ag 3.66
Nd 0.5000 0.0000 0.7596  8 Au 3.30-3.48, 6 Ga 3.31-3.66, 2 Ag 3.66
Ga 0.0000 0.5000 0.8715  5 Au 2.51-2.61
Ga 0.5000 0.0000 0.1285  5 Au 2.51-2.61
Ga 0.5000 0.5000 0.5000  4 Au 2.76, 4 Ag 3.06
Ag 0.0000 0.0000 0.5000  4 Au 2.76, 4 Ga 3.06
Au 0.0000 0.0000 0.0000  4 Ga 2.61
Au 0.0000 0.5000 0.6506  3 Ga 2.51-2.76, 2 Ag 2.76
Au 0.5000 0.0000 0.3494  3 Ga 2.51-2.76, 2 Ag 2.76
Au 0.5000 0.5000 0.0000  4 Ga 2.61

=====

(9)
## Nd2Ga6AgAu (PBE-GGA)

Data for an optimized crystal structure of Nd2Ga6AgAu.

Values from the calculation:
E_tot: -0.2683 Ry per atom
E_form: -25.8 kJ/mol of atoms
Total magnetic moment: 0.0 Bohr magnetons per cell
DOS(E_F): 0.3375 states/eV per atom
Space-group type: R-3m

Cell lengths 13.4934, 13.4934, 13.4934 Å; angles 26.96, 26.96, 26.96 degrees
Closest atoms and distances in Å follow each position.
Atoms (fractional coordinates):
Nd 0.1316 0.1316 0.1316  12 Ga 3.18-3.44
Nd 0.3144 0.3144 0.3144  9 Ga 3.43-3.48, 3 Ag 3.71
Nd 0.6856 0.6856 0.6856  9 Ga 3.43-3.48, 3 Ag 3.71
Nd 0.8684 0.8684 0.8684  12 Ga 3.18-3.44
Ga 0.0605 0.6572 0.6572  2 Ga 2.54, 1 Au 2.55, 1 Ag 2.71
Ga 0.1979 0.1979 0.7637  1 Au 2.52, 1 Ag 2.60, 2 Ga 2.73
Ga 0.1979 0.7637 0.1979  1 Au 2.52, 1 Ag 2.60, 2 Ga 2.73
Ga 0.2363 0.8021 0.8021  1 Au 2.52, 1 Ag 2.60, 2 Ga 2.73
Ga 0.3428 0.3428 0.9395  2 Ga 2.54, 1 Au 2.55, 1 Ag 2.71
Ga 0.3428 0.9395 0.3428  2 Ga 2.54, 1 Au 2.55, 1 Ag 2.71
Ga 0.6572 0.0605 0.6572  2 Ga 2.54, 1 Au 2.55, 1 Ag 2.71
Ga 0.6572 0.6572 0.0605  2 Ga 2.54, 1 Au 2.55, 1 Ag 2.71
Ga 0.7637 0.1979 0.1979  1 Au 2.52, 1 Ag 2.60, 2 Ga 2.73
Ga 0.8021 0.2363 0.8021  1 Au 2.52, 1 Ag 2.60, 2 Ga 2.73
Ga 0.8021 0.8021 0.2363  1 Au 2.52, 1 Ag 2.60, 2 Ga 2.73
Ga 0.9395 0.3428 0.3428  2 Ga 2.54, 1 Au 2.55, 1 Ag 2.71
Ag 0.0000 0.0000 0.0000  6 Ga 2.60
Ag 0.5000 0.5000 0.5000  6 Ga 2.71, 2 Au 2.96
Au 0.4241 0.4241 0.4241  6 Ga 2.52-2.55
Au 0.5759 0.5759 0.5759  6 Ga 2.52-2.55

=====

(10)
## NdGaAgAu (PBE-GGA)

Data for an optimized crystal structure of NdGaAgAu.

Values from the calculation:
E_tot: -0.2902 Ry per atom
E_form: -45.2 kJ/mol of atoms
Total magnetic moment: 0.0 Bohr magnetons per cell
DOS(E_F): 0.4809 states/eV per atom
Space-group type: F-43m

Cell lengths 4.9445, 4.9445, 4.9445 Å; angles 60.00, 60.00, 60.00 degrees
Closest atoms and distances in Å follow each position.
Atoms (fractional coordinates):
Nd 0.0000 0.0000 0.0000  4 Au 3.03, 4 Ga 3.03
Ga 0.2500 0.2500 0.2500  4 Nd 3.03, 4 Ag 3.03
Ag 0.5000 0.5000 0.5000  4 Au 3.03, 4 Ga 3.03
Au 0.7500 0.7500 0.7500  4 Nd 3.03, 4 Ag 3.03

=====

(11)
## NdGa3AgAu (PBE-GGA)

Data for an optimized crystal structure of NdGa3AgAu.

Values from the calculation:
E_tot: -0.2577 Ry per atom
E_form: -17.0 kJ/mol of atoms
Total magnetic moment: 0.0 Bohr magnetons per cell
DOS(E_F): 0.5799 states/eV per atom
Space-group type: Cmcm

Cell lengths 9.0590, 9.0590, 5.7368 Å; angles 90.00, 90.00, 142.57 degrees
Closest atoms and distances in Å follow each position.
Atoms (fractional coordinates):
Nd 0.1778 0.8222 0.7500  2 Au 3.12, 4 Ga 3.13-3.16, 2 Ag 3.23
Nd 0.8222 0.1778 0.2500  2 Au 3.12, 4 Ga 3.13-3.16, 2 Ag 3.23
Ga 0.2363 0.2363 0.0000  2 Ag 2.67, 2 Au 2.70, 3 Ga 2.75-2.87
Ga 0.2363 0.2363 0.5000  2 Ag 2.67, 2 Au 2.70, 3 Ga 2.75-2.87
Ga 0.2545 0.7455 0.2500  1 Au 2.53, 1 Ag 2.57
Ga 0.7455 0.2545 0.7500  1 Au 2.53, 1 Ag 2.57
Ga 0.7637 0.7637 0.0000  2 Ag 2.67, 2 Au 2.70, 3 Ga 2.75-2.87
Ga 0.7637 0.7637 0.5000  2 Ag 2.67, 2 Au 2.70, 3 Ga 2.75-2.87
Ag 0.4040 0.5960 0.2500  5 Ga 2.57-2.67
Ag 0.5960 0.4040 0.7500  5 Ga 2.57-2.67
Au 0.1068 0.8932 0.2500  5 Ga 2.53-2.70
Au 0.8932 0.1068 0.7500  5 Ga 2.53-2.70

=====

(12)
## NdGa2AgAu2 (PBE-GGA)

Data for an optimized crystal structure of NdGa2AgAu2.

Values from the calculation:
E_tot: -0.2846 Ry per atom
E_form: -48.4 kJ/mol of atoms
Total magnetic moment: 0.0 Bohr magnetons per cell
DOS(E_F): 0.5918 states/eV per atom
Space-group type: P-3m1

Cell lengths 4.5392, 4.5392, 6.8209 Å; angles 90.00, 90.00, 120.00 degrees
Closest atoms and distances in Å follow each position.
Atoms (fractional coordinates):
Nd 0.0000 0.0000 0.0000  6 Au 3.25, 6 Ga 3.28, 2 Ag 3.41
Ga 0.3333 0.6667 0.7105  4 Au 2.62-2.93
Ga 0.6667 0.3333 0.2895  4 Au 2.62-2.93
Ag 0.0000 0.0000 0.5000  6 Ga 2.99, 6 Au 3.02
Au 0.3333 0.6667 0.2808  4 Ga 2.62-2.93
Au 0.6667 0.3333 0.7192  4 Ga 2.62-2.93